No. 1
The following is a GGA-PBE calculation of an optimized crystal structure of RbTe4PPd, from the Open Quantum Materials Database.

Cell lengths 9.596, 9.596, 9.596 Å; angles 124.26, 124.26, 82.77 degrees
Positions (direct):
Rb1 0.250 0.250 0.000
Rb2 0.750 0.750 0.000
Te1 0.011 0.511 0.786
Te2 0.225 0.011 0.500
Te3 0.275 0.775 0.786
Te4 0.489 0.275 0.500
Te5 0.511 0.725 0.500
Te6 0.725 0.225 0.214
Te7 0.775 0.989 0.500
Te8 0.989 0.489 0.214
P1 0.250 0.750 0.500
P2 0.750 0.250 0.500
Pd1 0.000 0.500 0.500
Pd2 0.500 0.000 0.500

Results
total energy	-3.758	eV/atom

---

No. 2
The following is a GGA-PBE calculation of an optimized crystal structure of PPdS3, from the Open Quantum Materials Database.

Cell lengths 5.990, 5.990, 6.851 Å; angles 98.25, 98.25, 120.12 degrees
Positions (direct):
P1 0.057 0.057 0.170
P2 0.943 0.943 0.830
Pd1 0.333 0.667 0.000
Pd2 0.667 0.333 0.000
S1 0.080 0.410 0.240
S2 0.252 0.252 0.760
S3 0.410 0.080 0.240
S4 0.590 0.920 0.760
S5 0.748 0.748 0.240
S6 0.920 0.590 0.760

Results
total energy	-4.781	eV/atom

---

No. 3
The following is a GGA-PBE calculation of an optimized crystal structure of TlPPdS4, from the Open Quantum Materials Database.

Cell lengths 8.413, 8.413, 8.413 Å; angles 123.05, 123.05, 84.79 degrees
Positions (direct):
Tl1 0.250 0.250 0.000
Tl2 0.750 0.750 0.000
P1 0.250 0.750 0.500
P2 0.750 0.250 0.500
Pd1 0.000 0.500 0.500
Pd2 0.500 0.000 0.500
S1 0.004 0.504 0.225
S2 0.221 0.996 0.500
S3 0.279 0.779 0.775
S4 0.496 0.721 0.500
S5 0.504 0.279 0.500
S6 0.721 0.221 0.225
S7 0.779 0.004 0.500
S8 0.996 0.496 0.775

Results
total energy	-4.606	eV/atom

---

No. 4
The following is a GGA-PBE calculation of an optimized crystal structure of Sc3P4Pd4, from the Open Quantum Materials Database.

Cell lengths 7.613, 7.613, 7.613 Å; angles 150.16, 126.36, 62.60 degrees
Positions (direct):
Sc1 0.000 0.000 0.000
Sc2 0.376 0.876 0.500
Sc3 0.624 0.124 0.500
P1 0.217 0.217 0.000
P2 0.322 0.500 0.822
P3 0.678 0.500 0.178
P4 0.783 0.783 0.000
Pd1 0.033 0.331 0.702
Pd2 0.371 0.669 0.702
Pd3 0.629 0.331 0.298
Pd4 0.967 0.669 0.298

Results
total magnetic moment	0.0	μB/f.u.
total energy	-6.588	eV/atom

---

No. 5
The following is a GGA-PBE calculation of an optimized crystal structure of SmSiPPd2, from the Open Quantum Materials Database.

Cell lengths 5.798, 5.798, 5.798 Å; angles 137.92, 137.92, 61.02 degrees
Positions (direct):
Sm1 0.000 0.000 0.000
Si1 0.620 0.620 0.000
P1 0.392 0.392 0.000
Pd1 0.250 0.750 0.500
Pd2 0.750 0.250 0.500

Results
total magnetic moment	0.0	μB/f.u.
total energy	-6.179	eV/atom

---

No. 6
The following is a GGA-PBE calculation of an optimized crystal structure of SrSiPPd2, from the Open Quantum Materials Database.

Cell lengths 5.814, 5.814, 5.814 Å; angles 136.70, 136.70, 62.90 degrees
Positions (direct):
Sr1 0.000 0.000 0.000
Si1 0.624 0.624 0.000
P1 0.389 0.389 0.000
Pd1 0.251 0.751 0.500
Pd2 0.751 0.251 0.500

Results
total energy	-5.393	eV/atom

---

no.,volume (Å³ per cell)
1,580
2,204
3,400
4,175
5,87
6,91